# 1
A plane-wave DFT calculation with PBE was carried out for an optimized crystal structure of Sm3ZrO.

abc: 4.937 4.937 4.937
angles: 90.00 90.00 90.00
Sites, in units of the cell vectors:
Sm  0.000  0.000  0.500
Sm  0.000  0.500  0.000
Sm  0.500  0.000  0.000
Zr  0.500  0.500  0.500
O  0.000  0.000  0.000

The density of states at the Fermi level comes out at 4.955 states/eV per cell. The uncorrected formation energy is -1063.5 meV per atom. For the total energy, the calculation gives -33.0 eV/f.u. The space-group type is Pm-3m (221).

# 2
A plane-wave DFT calculation with PBE was carried out for an optimized crystal structure of Pm5SbTe5.

abc: 7.712 7.712 8.900
angles: 106.73 106.73 48.45
Sites, in units of the cell vectors:
Pm  0.000  0.000  0.000
Pm  0.336  0.336  0.169
Pm  0.337  0.337  0.668
Pm  0.663  0.663  0.332
Pm  0.664  0.664  0.831
Sb  0.500  0.500  0.000
Te  0.164  0.164  0.337
Te  0.166  0.166  0.829
Te  0.500  0.500  0.500
Te  0.834  0.834  0.171
Te  0.836  0.836  0.663

The density of states at the Fermi level comes out at 4.070 states/eV per cell. The uncorrected formation energy is -1421.3 meV per atom. For the total energy, the calculation gives -59.2 eV/f.u. The space-group type is C2/m (12).

# 3
A plane-wave DFT calculation with PBE was carried out for an optimized crystal structure of BaTc2Mo.

abc: 3.226 3.226 8.016
angles: 90.00 90.00 90.00
Sites, in units of the cell vectors:
Ba  0.000  0.000  0.000
Tc  0.500  0.500  0.330
Tc  0.500  0.500  0.670
Mo  0.000  0.000  0.500

Its polymorph energy (0 for the lowest one) is 0.000 eV per atom. The density of states at the Fermi level comes out at 3.928 states/eV per cell. For the calculated formation energy, the calculation gives 0.614 eV per atom. For the total energy, the calculation gives -31.0 eV/f.u. The space-group type is P4/mmm (123).

# 4
A plane-wave DFT calculation with PBE was carried out for an optimized crystal structure of TlHgF4.

abc: 6.593 6.593 7.124
angles: 90.15 90.15 53.96
Sites, in units of the cell vectors:
Tl  0.000  0.500  0.000
Tl  0.500  0.000  0.500
Hg  0.002  0.998  0.750
Hg  0.998  0.002  0.250
F  0.195  0.719  0.001
F  0.207  0.210  0.251
F  0.210  0.207  0.751
F  0.281  0.805  0.499
F  0.719  0.195  0.501
F  0.790  0.793  0.249
F  0.793  0.790  0.749
F  0.805  0.281  0.999

Its polymorph energy (0 for the lowest one) is 0.039 eV per atom. The density of states at the Fermi level comes out at 2.276 states/eV per cell. The uncorrected formation energy is -1555.6 meV per atom. For the total energy, the calculation gives -19.5 eV/f.u. The space-group type is C2/c (15).

# 5
A plane-wave DFT calculation with PBE was carried out for an optimized crystal structure of Ho12Pd6Pt.

abc: 8.230 8.230 8.230
angles: 99.81 99.81 99.81
Sites, in units of the cell vectors:
Ho  0.047  0.920  0.676
Ho  0.080  0.324  0.953
Ho  0.179  0.573  0.416
Ho  0.324  0.953  0.080
Ho  0.416  0.179  0.573
Ho  0.427  0.584  0.821
Ho  0.573  0.416  0.179
Ho  0.584  0.821  0.427
Ho  0.676  0.047  0.920
Ho  0.821  0.427  0.584
Ho  0.920  0.676  0.047
Ho  0.953  0.080  0.324
Pd  0.134  0.314  0.621
Pd  0.314  0.621  0.134
Pd  0.379  0.866  0.686
Pd  0.621  0.134  0.314
Pd  0.686  0.379  0.866
Pd  0.866  0.686  0.379
Pt  0.000  0.000  0.000

The density of states at the Fermi level comes out at 17.067 states/eV per cell. For the calculated formation energy, the calculation gives -0.604 eV per atom. For the total energy, the calculation gives -103.6 eV/f.u. The space-group type is R-3 (148).

# 6
A plane-wave DFT calculation with PBE was carried out for an optimized crystal structure of KAsOs2.

abc: 6.124 6.124 2.630
angles: 102.26 102.26 124.64
Sites, in units of the cell vectors:
K  0.000  0.000  0.000
As  0.500  0.500  0.000
Os  0.000  0.500  0.000
Os  0.500  0.000  0.000

The density of states at the Fermi level comes out at 3.898 states/eV per cell. For the calculated formation energy, the calculation gives 1.184 eV per atom. For the total energy, the calculation gives -23.5 eV/f.u. The space-group type is C2/m (12).

# 7
A plane-wave DFT calculation with PBE was carried out for an optimized crystal structure of Pb5W.

abc: 7.399 7.399 7.888
angles: 106.25 106.25 25.09
Sites, in units of the cell vectors:
Pb  0.000  0.000  0.000
Pb  0.030  0.030  0.594
Pb  0.284  0.284  0.727
Pb  0.319  0.319  0.175
Pb  0.657  0.657  0.327
W  0.659  0.659  0.909

Its polymorph energy (0 for the lowest one) is 0.000 eV per atom. The density of states at the Fermi level comes out at 2.093 states/eV per cell. For the calculated formation energy, the calculation gives 0.486 eV per atom. For the total energy, the calculation gives -28.6 eV/f.u. The space-group type is Cm (8).

# 8
A plane-wave DFT calculation with PBE was carried out for an optimized crystal structure of InI4N.

abc: 7.449 12.969 11.966
angles: 90.00 90.00 90.00
Sites, in units of the cell vectors:
In  0.250  0.000  0.152
In  0.250  0.500  0.348
In  0.750  0.000  0.848
In  0.750  0.500  0.652
I  0.018  0.004  0.689
I  0.018  0.496  0.811
I  0.243  0.171  0.012
I  0.243  0.329  0.488
I  0.257  0.671  0.488
I  0.257  0.829  0.012
I  0.482  0.504  0.811
I  0.482  0.996  0.689
I  0.518  0.004  0.311
I  0.518  0.496  0.189
I  0.743  0.171  0.988
I  0.743  0.329  0.512
I  0.757  0.671  0.512
I  0.757  0.829  0.988
I  0.982  0.504  0.189
I  0.982  0.996  0.311
N  0.177  0.750  0.750
N  0.323  0.250  0.750
N  0.677  0.750  0.250
N  0.823  0.250  0.250

The density of states at the Fermi level comes out at 19.454 states/eV per cell. The uncorrected formation energy is 622.6 meV per atom. For the total energy, the calculation gives -13.5 eV/f.u. The space-group type is Pnna (52).